Entry 1:
# NdYMgSc, relaxed, DFT GGA-PBE
# Final energy   -19.20 eV for the cell shown
# Calculated volume   29.02 Å³/atom
data_NdYMgSc
_cell_length_a 3.617
_cell_length_b 3.617
_cell_length_c 8.870
_cell_angle_alpha 90.00
_cell_angle_beta 90.00
_cell_angle_gamma 90.00
_space_group_name_H-M_alt 'P 4 m m'
_space_group_IT_number 99
loop_
_space_group_symop_operation_xyz
'x,y,z'
'-y,x,z'
'-x,-y,z'
'y,-x,z'
'-x,y,z'
'y,x,z'
'x,-y,z'
'-y,-x,z'
loop_
_atom_site_label
_atom_site_fract_x
_atom_site_fract_y
_atom_site_fract_z
Nd1 0.000 0.000 0.000
Y1 0.000 0.000 0.502
Mg1 0.500 0.500 0.744
Sc1 0.500 0.500 0.255

Entry 2:
# Ho3PSe6, relaxed, DFT GGA-PBE
# Energy relative to the elements, uncorrected   -128.9 kJ/mol of atoms
# Final energy   -213.63 eV for the cell shown
# Calculated volume   27.04 Å³/atom
data_Ho3PSe6
_cell_length_a 10.970
_cell_length_b 13.573
_cell_length_c 7.263
_cell_angle_alpha 90.00
_cell_angle_beta 90.00
_cell_angle_gamma 90.00
_space_group_name_H-M_alt 'C m c 21'
_space_group_IT_number 36
loop_
_space_group_symop_operation_xyz
'x,y,z'
'-x,-y,z+1/2'
'-x,y,z'
'x,-y,z+1/2'
'x+1/2,y+1/2,z'
'-x+1/2,-y+1/2,z+1/2'
'-x+1/2,y+1/2,z'
'x+1/2,-y+1/2,z+1/2'
loop_
_atom_site_label
_atom_site_fract_x
_atom_site_fract_y
_atom_site_fract_z
Ho1 0.000 0.101 0.000
Ho2 0.185 0.402 0.929
P1 0.000 0.307 0.343
Se1 0.000 0.283 0.783
Se2 0.000 0.468 0.208
Se3 0.162 0.026 0.715
Se4 0.168 0.237 0.198

Entry 3:
# PrDy5Sb6, relaxed, DFT GGA-PBE
# Energy relative to the elements, uncorrected   -109.7 kJ/mol of atoms
# Final energy   -132.34 eV for the cell shown
# Calculated volume   30.42 Å³/atom
data_PrDy5Sb6
_cell_length_a 7.646
_cell_length_b 13.248
_cell_length_c 7.647
_cell_angle_alpha 90.00
_cell_angle_beta 109.51
_cell_angle_gamma 90.00
_space_group_name_H-M_alt 'C 1 2/m 1'
_space_group_IT_number 12
loop_
_space_group_symop_operation_xyz
'x,y,z'
'-x,-y,-z'
'-x,y,-z'
'x,-y,z'
'x+1/2,y+1/2,z'
'-x+1/2,-y+1/2,-z'
'-x+1/2,y+1/2,-z'
'x+1/2,-y+1/2,z'
loop_
_atom_site_label
_atom_site_fract_x
_atom_site_fract_y
_atom_site_fract_z
Pr1 0.000 0.000 0.000
Dy1 0.000 0.164 0.500
Dy2 0.000 0.332 0.000
Dy3 0.000 0.500 0.500
Sb1 0.244 0.500 0.252
Sb2 0.245 0.330 0.745

Entry 4:
# SmEr2Sc8, relaxed, DFT GGA-PBE
# Final energy   -126.09 eV for the cell shown
# Calculated volume   27.29 Å³/atom
data_SmEr2Sc8
_cell_length_a 5.472
_cell_length_b 6.792
_cell_length_c 16.153
_cell_angle_alpha 90.00
_cell_angle_beta 90.00
_cell_angle_gamma 90.00
_space_group_name_H-M_alt 'I m m m'
_space_group_IT_number 71
_space_group_name_Hall '-I 2 2'
loop_
_atom_site_label
_atom_site_fract_x
_atom_site_fract_y
_atom_site_fract_z
Sm1 0.000 0.000 0.000
Er1 0.000 0.500 0.190
Sc1 0.000 0.000 0.203
Sc2 0.000 0.272 0.370
Sc3 0.243 0.500 0.000

Entry 5:
# Ba2NpNO3, relaxed, DFT GGA-PBE
# Energy relative to the elements, uncorrected   -231.4 kJ/mol of atoms
# Final energy   -113.55 eV for the cell shown
# Calculated volume   18.63 Å³/atom
data_Ba2NpNO3
_cell_length_a 4.297
_cell_length_b 4.423
_cell_length_c 13.723
_cell_angle_alpha 90.00
_cell_angle_beta 90.00
_cell_angle_gamma 90.00
_space_group_name_H-M_alt 'I m m m'
_space_group_IT_number 71
_space_group_name_Hall '-I 2 2'
loop_
_atom_site_label
_atom_site_fract_x
_atom_site_fract_y
_atom_site_fract_z
Ba1 0.000 0.000 0.146
Np1 0.000 0.000 0.500
N1 0.000 0.500 0.000
O1 0.000 0.000 0.340
O2 0.000 0.500 0.500

Entry 6:
# CuAsP, relaxed, DFT GGA-PBE
# Final energy   -54.66 eV for the cell shown
# Calculated volume   17.54 Å³/atom
data_CuAsP
_cell_length_a 9.054
_cell_length_b 3.443
_cell_length_c 6.750
_cell_angle_alpha 90.00
_cell_angle_beta 90.00
_cell_angle_gamma 90.00
_space_group_name_H-M_alt 'P n m a'
_space_group_IT_number 62
loop_
_space_group_symop_operation_xyz
'x,y,z'
'-x,-y,-z'
'-x+1/2,-y,z+1/2'
'x+1/2,y,-z+1/2'
'x+1/2,-y+1/2,-z+1/2'
'-x+1/2,y+1/2,z+1/2'
'-x,y+1/2,-z'
'x,-y+1/2,z'
loop_
_atom_site_label
_atom_site_fract_x
_atom_site_fract_y
_atom_site_fract_z
Cu1 0.111 0.250 0.020
As1 0.169 0.250 0.381
P1 0.001 0.750 0.280

Entry 7:
# Tl2NiAu2, relaxed, DFT GGA-PBE
# Final energy   -31.69 eV for the cell shown
# Calculated volume   22.03 Å³/atom
data_Tl2NiAu2
_cell_length_a 6.856
_cell_length_b 6.856
_cell_length_c 4.687
_cell_angle_alpha 90.00
_cell_angle_beta 90.00
_cell_angle_gamma 90.00
_space_group_name_H-M_alt 'P 4/m b m'
_space_group_IT_number 127
_space_group_name_Hall '-P 4 2ab'
loop_
_atom_site_label
_atom_site_fract_x
_atom_site_fract_y
_atom_site_fract_z
Tl1 0.173 0.327 0.000
Ni1 0.000 0.000 0.500
Au1 0.149 0.649 0.500

Entry 8:
# La4CuHg3, relaxed, DFT GGA-PBE
# Final energy   -27.94 eV for the cell shown
# Calculated volume   28.63 Å³/atom
data_La4CuHg3
_cell_length_a 3.843
_cell_length_b 3.843
_cell_length_c 15.508
_cell_angle_alpha 90.00
_cell_angle_beta 90.00
_cell_angle_gamma 90.00
_space_group_name_H-M_alt 'P 4/m m m'
_space_group_IT_number 123
_space_group_name_Hall '-P 4 2'
loop_
_atom_site_label
_atom_site_fract_x
_atom_site_fract_y
_atom_site_fract_z
La1 0.000 0.000 0.107
La2 0.000 0.000 0.370
Cu1 0.500 0.500 0.000
Hg1 0.500 0.500 0.241
Hg2 0.500 0.500 0.500

Entry 9:
# NbCdInB2, relaxed, DFT GGA-PBE
# Final energy   -21.01 eV for the cell shown
# Calculated volume   21.13 Å³/atom
data_NbCdInB2
_cell_length_a 4.362
_cell_length_b 4.362
_cell_length_c 5.554
_cell_angle_alpha 90.00
_cell_angle_beta 90.00
_cell_angle_gamma 90.00
_space_group_name_H-M_alt 'P 4/m m m'
_space_group_IT_number 123
_space_group_name_Hall '-P 4 2'
loop_
_atom_site_label
_atom_site_fract_x
_atom_site_fract_y
_atom_site_fract_z
Nb1 0.000 0.000 0.000
Cd1 0.000 0.000 0.500
In1 0.500 0.500 0.500
B1 0.000 0.500 0.000

Entry 10:
# TaSe2Br, relaxed, DFT GGA-PBE
# Energy relative to the elements, uncorrected   -54.1 kJ/mol of atoms
# Final energy   -45.47 eV for the cell shown
# Calculated volume   30.33 Å³/atom
data_TaSe2Br
_cell_length_a 5.327
_cell_length_b 13.543
_cell_length_c 3.363
_cell_angle_alpha 90.00
_cell_angle_beta 90.00
_cell_angle_gamma 90.00
_space_group_name_H-M_alt 'C m m m'
_space_group_IT_number 65
_space_group_name_Hall '-C 2 2'
loop_
_atom_site_label
_atom_site_fract_x
_atom_site_fract_y
_atom_site_fract_z
Ta1 0.000 0.000 0.000
Se1 0.000 0.141 0.500
Br1 0.000 0.500 0.000

Entry 11:
# TlIn2GaPd, relaxed, DFT GGA-PBE
# Final energy   -16.56 eV for the cell shown
# Calculated volume   26.85 Å³/atom
data_TlIn2GaPd
_cell_length_a 5.250
_cell_length_b 5.250
_cell_length_c 4.870
_cell_angle_alpha 90.00
_cell_angle_beta 90.00
_cell_angle_gamma 90.00
_space_group_name_H-M_alt 'P 4/m m m'
_space_group_IT_number 123
_space_group_name_Hall '-P 4 2'
loop_
_atom_site_label
_atom_site_fract_x
_atom_site_fract_y
_atom_site_fract_z
Tl1 0.000 0.000 0.000
In1 0.000 0.500 0.500
Ga1 0.500 0.500 0.000
Pd1 0.500 0.500 0.500

Entry 12:
# LiEr2Tc, relaxed, DFT GGA-PBE
# Final energy   -61.64 eV for the cell shown
# Calculated volume   25.83 Å³/atom
data_LiEr2Tc
_cell_length_a 3.3842
_cell_length_b 3.3842
_cell_length_c 31.2491
_cell_angle_alpha 90.00
_cell_angle_beta 90.00
_cell_angle_gamma 120.00
_space_group_name_H-M_alt 'R -3 m'
_space_group_IT_number 166
_space_group_name_Hall '-R 3 2"'
loop_
_atom_site_label
_atom_site_fract_x
_atom_site_fract_y
_atom_site_fract_z
Li1 0.0000 0.0000 0.0000
Er1 0.0000 0.0000 0.1025
Tc1 0.0000 0.0000 0.5000